# ZrH2I PBE relaxed
data_ZrH2I
_cell_length_a 4.432
_cell_length_b 4.432
_cell_length_c 12.917
_cell_angle_alpha 90.00
_cell_angle_beta 90.00
_cell_angle_gamma 90.00
_symmetry_space_group_name_H-M 'I 41/a m d'
_symmetry_Int_Tables_number 141
loop_
_symmetry_equiv_pos_as_xyz
'x,y,z'
'-x,-y,-z'
'-y+1/4,x+3/4,z+1/4'
'y+1/4,-x+3/4,-z+1/4'
'-x+1/2,-y,z+1/2'
'x+1/2,y,-z+1/2'
'y+1/4,-x+1/4,z+3/4'
'-y+1/4,x+1/4,-z+3/4'
'x,-y,-z'
'-x,y,z'
'-y+1/4,-x+1/4,-z+3/4'
'y+1/4,x+1/4,z+3/4'
'-x+1/2,y,-z+1/2'
'x+1/2,-y,z+1/2'
'y+1/4,x+3/4,-z+1/4'
'-y+1/4,-x+3/4,z+1/4'
'x+1/2,y+1/2,z+1/2'
'-x+1/2,-y+1/2,-z+1/2'
'-y+3/4,x+1/4,z+3/4'
'y+3/4,-x+1/4,-z+3/4'
'-x,-y+1/2,z'
'x,y+1/2,-z'
'y+3/4,-x+3/4,z+1/4'
'-y+3/4,x+3/4,-z+1/4'
'x+1/2,-y+1/2,-z+1/2'
'-x+1/2,y+1/2,z+1/2'
'-y+3/4,-x+3/4,-z+1/4'
'y+3/4,x+3/4,z+1/4'
'-x,y+1/2,-z'
'x,-y+1/2,z'
'y+3/4,x+1/4,-z+3/4'
'-y+3/4,-x+1/4,z+3/4'
loop_
_atom_site_label
_atom_site_fract_x
_atom_site_fract_y
_atom_site_fract_z
Zr1 0.000 0.250 0.375
H1 0.000 0.000 0.500
I1 0.000 0.250 0.875
# VASP energy ... -4.32 eV/atom
# M_tot ... 0.00 μB/f.u.
# Energy relative to the lowest polymorph listed for this composition ... 0 meV per atom